No. 1
VASP calculation (GGA-PBE) on La6Pm12Ho after structural relaxation.

Geometry as CIF:
```
data_La6Pm12Ho
_chemical_formula_sum 'La18 Pm36 Ho3'
_cell_length_a 12.3668
_cell_length_b 12.3668
_cell_length_c 15.2610
_cell_angle_alpha 90.00
_cell_angle_beta 90.00
_cell_angle_gamma 120.00
_space_group_name_H-M_alt 'R -3'
_space_group_IT_number 148
_space_group_name_Hall '-R 3'
loop_
_atom_site_label
_atom_site_type_symbol
_atom_site_fract_x
_atom_site_fract_y
_atom_site_fract_z
_atom_site_occupancy
La1 La 0.0127 0.5922 0.1859 1
Pm1 Pm 0.0029 0.8314 0.3104 1
Pm2 Pm 0.0504 0.1964 0.9165 1
Ho1 Ho 0.0000 0.0000 0.5000 1
```

Output
Offset from the most stable computed form: 0 meV per atom
ΔH_f (0 K): 222.2 kJ/mol of formula units



No. 2
VASP calculation (GGA-PBE) on Sr2Ga4Rh5 after structural relaxation.

Geometry as CIF:
```
data_Sr2Ga4Rh5
_chemical_formula_sum 'Sr8 Ga16 Rh20'
_cell_length_a 5.9173
_cell_length_b 10.0835
_cell_length_c 14.3571
_cell_angle_alpha 90.00
_cell_angle_beta 90.00
_cell_angle_gamma 90.00
_space_group_name_H-M_alt 'F m m m'
_space_group_IT_number 69
_space_group_name_Hall '-F 2 2'
loop_
_atom_site_label
_atom_site_type_symbol
_atom_site_fract_x
_atom_site_fract_y
_atom_site_fract_z
_atom_site_occupancy
Sr1 Sr 0.0000 0.0000 0.1294 1
Ga1 Ga 0.0000 0.1587 0.3699 1
Rh1 Rh 0.0000 0.0000 0.5000 1
Rh2 Rh 0.2500 0.2500 0.0000 1
Rh3 Rh 0.2500 0.2500 0.2500 1
```

Output
ΔH_f (0 K): -681.3 kJ/mol of formula units



No. 3
VASP calculation (GGA-PBE) on Ca2PS after structural relaxation.

Geometry as CIF:
```
data_Ca2PS
_chemical_formula_sum 'Ca8 P4 S4'
_cell_length_a 7.4263
_cell_length_b 7.4263
_cell_length_c 7.3797
_cell_angle_alpha 90.00
_cell_angle_beta 90.00
_cell_angle_gamma 90.00
_space_group_name_H-M_alt 'I -4 2 d'
_space_group_IT_number 122
_space_group_name_Hall 'I -4 2bw'
loop_
_atom_site_label
_atom_site_type_symbol
_atom_site_fract_x
_atom_site_fract_y
_atom_site_fract_z
_atom_site_occupancy
Ca1 Ca 0.2413 0.2500 0.1250 1
P1 P 0.0000 0.0000 0.5000 1
S1 S 0.0000 0.0000 0.0000 1
```

Output
Uncorrected formation energy: -4.6 eV/f.u.
Offset from the most stable computed form: 3 meV per atom



No. 4
VASP calculation (GGA-PBE) on AcTc4P3 after structural relaxation.

Geometry as CIF:
```
data_AcTc4P3
_chemical_formula_sum 'Ac1 Tc4 P3'
_cell_length_a 4.0649
_cell_length_b 4.0649
_cell_length_c 8.4939
_cell_angle_alpha 90.00
_cell_angle_beta 90.00
_cell_angle_gamma 90.00
_space_group_name_H-M_alt 'P 4/m m m'
_space_group_IT_number 123
_space_group_name_Hall '-P 4 2'
loop_
_atom_site_label
_atom_site_type_symbol
_atom_site_fract_x
_atom_site_fract_y
_atom_site_fract_z
_atom_site_occupancy
Ac1 Ac 0.0000 0.0000 0.0000 1
Tc1 Tc 0.0000 0.5000 0.3415 1
P1 P 0.0000 0.0000 0.5000 1
P2 P 0.5000 0.5000 0.1964 1
```

Output
ΔH_f (0 K): -439.9 kJ/mol of formula units



No. 5
VASP calculation (GGA-PBE) on Y7HoEr12 after structural relaxation.

Geometry as CIF:
```
data_Y7HoEr12
_chemical_formula_sum 'Y14 Ho2 Er24'
_cell_length_a 11.1688
_cell_length_b 11.1688
_cell_length_c 11.1688
_cell_angle_alpha 90.00
_cell_angle_beta 90.00
_cell_angle_gamma 90.00
_space_group_name_H-M_alt 'I m -3 m'
_space_group_IT_number 229
_space_group_name_Hall '-I 4 2 3'
loop_
_atom_site_label
_atom_site_type_symbol
_atom_site_fract_x
_atom_site_fract_y
_atom_site_fract_z
_atom_site_occupancy
Y1 Y 0.0000 0.0000 0.5000 1
Y2 Y 0.2500 0.2500 0.2500 1
Ho1 Ho 0.0000 0.0000 0.0000 1
Er1 Er 0.0000 0.2481 0.2481 1
```

Output
Offset from the most stable computed form: 439 meV per atom
ΔH_f (0 K): 1449.9 kJ/mol of formula units



No. 6
VASP calculation (GGA-PBE) on HoPu2NpSe4 after structural relaxation.

Geometry as CIF:
```
data_HoPu2NpSe4
_chemical_formula_sum 'Ho1 Pu2 Np1 Se4'
_cell_length_a 7.1169
_cell_length_b 4.1105
_cell_length_c 7.1425
_cell_angle_alpha 90.00
_cell_angle_beta 109.38
_cell_angle_gamma 90.00
_space_group_name_H-M_alt 'P 1 2/m 1'
_space_group_IT_number 10
_space_group_name_Hall '-P 2y'
loop_
_atom_site_label
_atom_site_type_symbol
_atom_site_fract_x
_atom_site_fract_y
_atom_site_fract_z
_atom_site_occupancy
Ho1 Ho 0.0000 0.0000 0.0000 1
Pu1 Pu 0.0000 0.5000 0.5000 1
Pu2 Pu 0.5000 0.0000 0.5000 1
Np1 Np 0.5000 0.5000 0.0000 1
Se1 Se 0.2466 0.5000 0.2455 1
Se2 Se 0.2496 0.0000 0.7530 1
```

Output
Uncorrected formation energy: -11.8 eV/f.u.



No. 7
VASP calculation (GGA-PBE) on U2MnI8 after structural relaxation.

Geometry as CIF:
```
data_U2MnI8
_chemical_formula_sum 'U4 Mn2 I16'
_cell_length_a 11.6162
_cell_length_b 12.2799
_cell_length_c 7.9123
_cell_angle_alpha 90.00
_cell_angle_beta 106.21
_cell_angle_gamma 90.00
_space_group_name_H-M_alt 'C 1 2/m 1'
_space_group_IT_number 12
_space_group_name_Hall '-C 2y'
loop_
_atom_site_label
_atom_site_type_symbol
_atom_site_fract_x
_atom_site_fract_y
_atom_site_fract_z
_atom_site_occupancy
U1 U 0.1045 0.0000 0.0006 1
Mn1 Mn 0.0000 0.0000 0.5000 1
I1 I 0.0482 0.1719 0.2598 1
I2 I 0.1465 0.5000 0.7763 1
I3 I 0.2358 0.0000 0.7061 1
```

Output
Uncorrected formation energy: -6.9 eV/f.u.



No. 8
VASP calculation (GGA-PBE) on TcMo2W after structural relaxation.

Geometry as CIF:
```
data_TcMo2W
_chemical_formula_sum 'Tc4 Mo8 W4'
_cell_length_a 7.1868
_cell_length_b 7.1868
_cell_length_c 5.2188
_cell_angle_alpha 90.00
_cell_angle_beta 90.00
_cell_angle_gamma 90.00
_space_group_name_H-M_alt 'I -4 2 d'
_space_group_IT_number 122
_space_group_name_Hall 'I -4 2bw'
loop_
_atom_site_label
_atom_site_type_symbol
_atom_site_fract_x
_atom_site_fract_y
_atom_site_fract_z
_atom_site_occupancy
Tc1 Tc 0.0000 0.0000 0.0000 1
Mo1 Mo 0.2407 0.2500 0.1250 1
W1 W 0.0000 0.0000 0.5000 1
```

Output
Offset from the most stable computed form: 819 meV per atom
ΔH_f (0 K): 322.1 kJ/mol of formula units



No. 9
VASP calculation (GGA-PBE) on YZr2Tc after structural relaxation.

Geometry as CIF:
```
data_YZr2Tc
_chemical_formula_sum 'Y1 Zr2 Tc1'
_cell_length_a 3.3803
_cell_length_b 3.3803
_cell_length_c 7.8595
_cell_angle_alpha 90.00
_cell_angle_beta 90.00
_cell_angle_gamma 90.00
_space_group_name_H-M_alt 'P 4 m m'
_space_group_IT_number 99
_space_group_name_Hall 'P 4 -2'
loop_
_atom_site_label
_atom_site_type_symbol
_atom_site_fract_x
_atom_site_fract_y
_atom_site_fract_z
_atom_site_occupancy
Y1 Y 0.0000 0.0000 0.0000 1
Zr1 Zr 0.0000 0.0000 0.5834 1
Zr2 Zr 0.5000 0.5000 0.3302 1
Tc1 Tc 0.5000 0.5000 0.7679 1
```

Output
Offset from the most stable computed form: 62 meV per atom
ΔH_f (0 K): -24.7 kJ/mol of formula units



No. 10
VASP calculation (GGA-PBE) on KIn2Pt after structural relaxation.

Geometry as CIF:
```
data_KIn2Pt
_chemical_formula_sum 'K2 In4 Pt2'
_cell_length_a 6.2370
_cell_length_b 10.3763
_cell_length_c 2.9939
_cell_angle_alpha 90.00
_cell_angle_beta 90.00
_cell_angle_gamma 90.00
_space_group_name_H-M_alt 'C m m m'
_space_group_IT_number 65
_space_group_name_Hall '-C 2 2'
loop_
_atom_site_label
_atom_site_type_symbol
_atom_site_fract_x
_atom_site_fract_y
_atom_site_fract_z
_atom_site_occupancy
K1 K 0.0000 0.0000 0.0000 1
In1 In 0.2500 0.2500 0.5000 1
Pt1 Pt 0.0000 0.5000 0.0000 1
```

Output
ΔH_f (0 K): 59.6 kJ/mol of formula units



No. 11
VASP calculation (GGA-PBE) on CoRe after structural relaxation.

Geometry as CIF:
```
data_CoRe
_chemical_formula_sum 'Co4 Re4'
_cell_length_a 4.8679
_cell_length_b 4.8679
_cell_length_c 4.6920
_cell_angle_alpha 90.00
_cell_angle_beta 90.00
_cell_angle_gamma 90.00
_space_group_name_H-M_alt 'P 42/m n m'
_space_group_IT_number 136
_space_group_name_Hall '-P 4n 2n'
loop_
_atom_site_label
_atom_site_type_symbol
_atom_site_fract_x
_atom_site_fract_y
_atom_site_fract_z
_atom_site_occupancy
Co1 Co 0.1791 0.1791 0.0000 1
Re1 Re 0.1846 0.1846 0.5000 1
```

Output
ΔH_f (0 K): 167.8 kJ/mol of formula units



No. 12
VASP calculation (GGA-PBE) on Al2ZnHg after structural relaxation.

Geometry as CIF:
```
data_Al2ZnHg
_chemical_formula_sum 'Al4 Zn2 Hg2'
_cell_length_a 4.1476
_cell_length_b 4.1476
_cell_length_c 8.4810
_cell_angle_alpha 90.00
_cell_angle_beta 90.00
_cell_angle_gamma 90.00
_space_group_name_H-M_alt 'I -4 m 2'
_space_group_IT_number 119
_space_group_name_Hall 'I -4 -2'
loop_
_atom_site_label
_atom_site_type_symbol
_atom_site_fract_x
_atom_site_fract_y
_atom_site_fract_z
_atom_site_occupancy
Al1 Al 0.0000 0.0000 0.0000 1
Al2 Al 0.0000 0.5000 0.2500 1
Zn1 Zn 0.0000 0.0000 0.5000 1
Hg1 Hg 0.0000 0.5000 0.7500 1
```

Output
Offset from the most stable computed form: 56 meV per atom
ΔH_f (0 K): 59.2 kJ/mol of formula units



No. 13
VASP calculation (GGA-PBE) on CaLa2Sm9 after structural relaxation.

Geometry as CIF:
```
data_CaLa2Sm9
_chemical_formula_sum 'Ca1 La2 Sm9'
_cell_length_a 5.1889
_cell_length_b 5.1889
_cell_length_c 15.5264
_cell_angle_alpha 90.00
_cell_angle_beta 90.00
_cell_angle_gamma 90.00
_space_group_name_H-M_alt 'P 4/m m m'
_space_group_IT_number 123
_space_group_name_Hall '-P 4 2'
loop_
_atom_site_label
_atom_site_type_symbol
_atom_site_fract_x
_atom_site_fract_y
_atom_site_fract_z
_atom_site_occupancy
Ca1 Ca 0.0000 0.0000 0.0000 1
La1 La 0.0000 0.0000 0.3332 1
Sm1 Sm 0.0000 0.5000 0.1705 1
Sm2 Sm 0.0000 0.5000 0.5000 1
Sm3 Sm 0.5000 0.5000 0.0000 1
Sm4 Sm 0.5000 0.5000 0.3326 1
```

Output
ΔH_f (0 K): 52.3 kJ/mol of formula units



No. 14
VASP calculation (GGA-PBE) on U4Ge8Ru after structural relaxation.

Geometry as CIF:
```
data_U4Ge8Ru
_chemical_formula_sum 'U4 Ge8 Ru1'
_cell_length_a 4.0391
_cell_length_b 4.1366
_cell_length_c 15.7494
_cell_angle_alpha 90.00
_cell_angle_beta 90.00
_cell_angle_gamma 90.00
_space_group_name_H-M_alt 'P m m 2'
_space_group_IT_number 25
_space_group_name_Hall 'P 2 -2'
loop_
_atom_site_label
_atom_site_type_symbol
_atom_site_fract_x
_atom_site_fract_y
_atom_site_fract_z
_atom_site_occupancy
U1 U 0.0000 0.0000 0.0000 1
U2 U 0.0000 0.5000 0.4790 1
U3 U 0.5000 0.0000 0.7826 1
U4 U 0.5000 0.5000 0.2858 1
Ge1 Ge 0.0000 0.0000 0.3229 1
Ge2 Ge 0.0000 0.0000 0.6139 1
Ge3 Ge 0.0000 0.5000 0.1422 1
Ge4 Ge 0.0000 0.5000 0.8563 1
Ge5 Ge 0.5000 0.0000 0.1439 1
Ge6 Ge 0.5000 0.0000 0.4383 1
Ge7 Ge 0.5000 0.5000 0.6124 1
Ge8 Ge 0.5000 0.5000 0.9616 1
Ru1 Ru 0.0000 0.5000 0.7029 1
```

Output
ΔH_f (0 K): -269.3 kJ/mol of formula units



No. 15
VASP calculation (GGA-PBE) on Tb4Pm7Sm2 after structural relaxation.

Geometry as CIF:
```
data_Tb4Pm7Sm2
_chemical_formula_sum 'Tb4 Pm7 Sm2'
_cell_length_a 6.2639
_cell_length_b 8.0821
_cell_length_c 9.5800
_cell_angle_alpha 65.10
_cell_angle_beta 89.92
_cell_angle_gamma 82.80
_space_group_name_H-M_alt 'P -1'
_space_group_IT_number 2
_space_group_name_Hall '-P 1'
loop_
_atom_site_label
_atom_site_type_symbol
_atom_site_fract_x
_atom_site_fract_y
_atom_site_fract_z
_atom_site_occupancy
Tb1 Tb 0.0383 0.2710 0.1529 1
Tb2 Tb 0.1927 0.3464 0.7700 1
Pm1 Pm 0.1146 0.8068 0.4616 1
Pm2 Pm 0.2686 0.8842 0.0767 1
Pm3 Pm 0.4237 0.9610 0.6930 1
Pm4 Pm 0.5000 0.5000 0.0000 1
Sm1 Sm 0.3456 0.4232 0.3843 1
```

Output
ΔH_f (0 K): 13.9 kJ/mol of formula units



No. 16
VASP calculation (GGA-PBE) on Ca3SmHg6 after structural relaxation.

Geometry as CIF:
```
data_Ca3SmHg6
_chemical_formula_sum 'Ca6 Sm2 Hg12'
_cell_length_a 9.2613
_cell_length_b 5.2730
_cell_length_c 11.2352
_cell_angle_alpha 90.00
_cell_angle_beta 106.00
_cell_angle_gamma 90.00
_space_group_name_H-M_alt 'P 1 21/m 1'
_space_group_IT_number 11
_space_group_name_Hall '-P 2yb'
loop_
_atom_site_label
_atom_site_type_symbol
_atom_site_fract_x
_atom_site_fract_y
_atom_site_fract_z
_atom_site_occupancy
Ca1 Ca 0.0289 0.2500 0.3933 1
Ca2 Ca 0.1497 0.7500 0.2004 1
Ca3 Ca 0.2644 0.2500 0.9994 1
Sm1 Sm 0.4389 0.2500 0.6168 1
Hg1 Hg 0.0426 0.7500 0.9049 1
Hg2 Hg 0.1440 0.2500 0.7030 1
Hg3 Hg 0.2621 0.7500 0.4918 1
Hg4 Hg 0.3448 0.2500 0.3188 1
Hg5 Hg 0.3569 0.7500 0.7964 1
Hg6 Hg 0.4369 0.7500 0.0932 1
```

Output
ΔH_f (0 K): -455.8 kJ/mol of formula units



No. 17
VASP calculation (GGA-PBE) on RbSF5 after structural relaxation.

Geometry as CIF:
```
data_RbSF5
_chemical_formula_sum 'Rb4 S4 F20'
_cell_length_a 8.4508
_cell_length_b 6.4277
_cell_length_c 9.9838
_cell_angle_alpha 90.00
_cell_angle_beta 107.51
_cell_angle_gamma 90.00
_space_group_name_H-M_alt 'C 1 c 1'
_space_group_IT_number 9
_space_group_name_Hall 'C -2yc'
loop_
_atom_site_label
_atom_site_type_symbol
_atom_site_fract_x
_atom_site_fract_y
_atom_site_fract_z
_atom_site_occupancy
Rb1 Rb 0.0000 0.0392 0.0000 1
S1 S 0.4924 0.0027 0.2547 1
F1 F 0.0765 0.2466 0.2906 1
F2 F 0.1136 0.4697 0.6594 1
F3 F 0.1586 0.3964 0.8945 1
F4 F 0.3443 0.0922 0.5983 1
F5 F 0.4267 0.2616 0.2063 1
```

Output
Uncorrected formation energy: -14.1 eV/f.u.
Offset from the most stable computed form: 4 meV per atom



No. 18
VASP calculation (GGA-PBE) on MgBe2Ir after structural relaxation.

Geometry as CIF:
```
data_MgBe2Ir
_chemical_formula_sum 'Mg2 Be4 Ir2'
_cell_length_a 5.6437
_cell_length_b 5.6571
_cell_length_c 2.9605
_cell_angle_alpha 90.00
_cell_angle_beta 90.00
_cell_angle_gamma 90.00
_space_group_name_H-M_alt 'C m m m'
_space_group_IT_number 65
_space_group_name_Hall '-C 2 2'
loop_
_atom_site_label
_atom_site_type_symbol
_atom_site_fract_x
_atom_site_fract_y
_atom_site_fract_z
_atom_site_occupancy
Mg1 Mg 0.0000 0.0000 0.0000 1
Be1 Be 0.2500 0.2500 0.5000 1
Ir1 Ir 0.0000 0.5000 0.0000 1
```

Output
ΔH_f (0 K): -76.6 kJ/mol of formula units



No. 19
VASP calculation (GGA-PBE) on PuNiPtPb after structural relaxation.

Geometry as CIF:
```
data_PuNiPtPb
_chemical_formula_sum 'Pu4 Ni4 Pt4 Pb4'
_cell_length_a 6.8375
_cell_length_b 6.8375
_cell_length_c 6.8375
_cell_angle_alpha 90.00
_cell_angle_beta 90.00
_cell_angle_gamma 90.00
_space_group_name_H-M_alt 'F -4 3 m'
_space_group_IT_number 216
_space_group_name_Hall 'F -4 2 3'
loop_
_atom_site_label
_atom_site_type_symbol
_atom_site_fract_x
_atom_site_fract_y
_atom_site_fract_z
_atom_site_occupancy
Pu1 Pu 0.0000 0.0000 0.0000 1
Ni1 Ni 0.2500 0.2500 0.2500 1
Pt1 Pt 0.2500 0.2500 0.7500 1
Pb1 Pb 0.0000 0.0000 0.5000 1
```

Output
ΔH_f (0 K): -80.6 kJ/mol of formula units



No. 20
VASP calculation (GGA-PBE) on K3Ag2Cl8 after structural relaxation.

Geometry as CIF:
```
data_K3Ag2Cl8
_chemical_formula_sum 'K9 Ag6 Cl24'
_cell_length_a 6.8528
_cell_length_b 6.8528
_cell_length_c 28.7263
_cell_angle_alpha 90.00
_cell_angle_beta 90.00
_cell_angle_gamma 120.00
_space_group_name_H-M_alt 'R -3 m'
_space_group_IT_number 166
_space_group_name_Hall '-R 3 2"'
loop_
_atom_site_label
_atom_site_type_symbol
_atom_site_fract_x
_atom_site_fract_y
_atom_site_fract_z
_atom_site_occupancy
K1 K 0.0000 0.0000 0.0000 1
K2 K 0.0000 0.0000 0.2051 1
Ag1 Ag 0.0000 0.0000 0.3960 1
Cl1 Cl 0.0000 0.0000 0.3117 1
Cl2 Cl 0.0267 0.5134 0.7712 1
```

Output
Uncorrected formation energy: -12.2 eV/f.u.



no.,N(E_F) (states/eV per cell)
1,92.9
2,27.7
3,12.4
4,9.1
5,51.0
6,26.2
7,16.3
8,13.9
9,3.5
10,3.7
11,11.2
12,2.5
13,20.1
14,23.3
15,16.7
16,10.6
17,0.0
18,1.5
19,49.0
20,26.2